1.
First-principles (PBE-GGA) data for a relaxed structure of Ac8Os2Pd3, as listed in Alexandria.

Geometry as CIF:
```
data_Ac8Os2Pd3
_cell_length_a 15.3104
_cell_length_b 8.8820
_cell_length_c 7.3280
_cell_angle_alpha 90.00
_cell_angle_beta 109.50
_cell_angle_gamma 90.00
_space_group_name_H-M_alt 'C 1 2/m 1'
_space_group_IT_number 12
_space_group_name_Hall '-C 2y'
loop_
_atom_site_label
_atom_site_fract_x
_atom_site_fract_y
_atom_site_fract_z
_atom_site_occupancy
Ac1 0.1243 0.0000 0.2387 1
Ac2 0.1282 0.5000 0.2248 1
Ac3 0.1350 0.2399 0.7671 1
Os1 0.2455 0.5000 0.9844 1
Pd1 0.0000 0.0000 0.5000 1
Pd2 0.0000 0.2517 0.0000 1
```

Its density of states at the Fermi level is 9.01 states/eV/f.u. Its electronic total energy is -5.82 eV/atom.

***

2.
First-principles (PBE-GGA) data for a relaxed structure of Ac8Os2Pd, as listed in Alexandria.

Geometry as CIF:
```
data_Ac8Os2Pd
_cell_length_a 13.7963
_cell_length_b 7.4687
_cell_length_c 8.9478
_cell_angle_alpha 90.00
_cell_angle_beta 95.83
_cell_angle_gamma 90.00
_space_group_name_H-M_alt 'C 1 2/m 1'
_space_group_IT_number 12
_space_group_name_Hall '-C 2y'
loop_
_atom_site_label
_atom_site_fract_x
_atom_site_fract_y
_atom_site_fract_z
_atom_site_occupancy
Ac1 0.0808 0.0000 0.1928 1
Ac2 0.1493 0.2486 0.6420 1
Ac3 0.1598 0.5000 0.0344 1
Os1 0.1370 0.0000 0.8904 1
Pd1 0.0000 0.0000 0.5000 1
```

Its density of states at the Fermi level is 10.85 states/eV/f.u. Its electronic total energy is -5.46 eV/atom.

***

3.
First-principles (PBE-GGA) data for a relaxed structure of Ac6OsPd3, as listed in Alexandria.

Geometry as CIF:
```
data_Ac6OsPd3
_cell_length_a 7.3483
_cell_length_b 8.1469
_cell_length_c 13.3561
_cell_angle_alpha 90.00
_cell_angle_beta 122.27
_cell_angle_gamma 90.00
_space_group_name_H-M_alt 'P 1 21/c 1'
_space_group_IT_number 14
_space_group_name_Hall '-P 2ybc'
loop_
_atom_site_label
_atom_site_fract_x
_atom_site_fract_y
_atom_site_fract_z
_atom_site_occupancy
Ac1 0.0880 0.0553 0.2436 1
Ac2 0.2465 0.6890 0.0795 1
Ac3 0.3952 0.1755 0.0732 1
Os1 0.0000 0.0000 0.0000 1
Pd1 0.3073 0.1088 0.7544 1
Pd2 0.5000 0.0000 0.5000 1
```

Its density of states at the Fermi level is 6.32 states/eV/f.u. Its electronic total energy is -5.63 eV/atom.